--- w ---
First-principles (PBE) data for a geometry-optimized HgSbTe structure, as listed in the Alexandria database.

The space group is P3m1 (No. 156) and the conventional cell measures 5.6428, 5.6428 and 3.1097 Å, with angles of 90.00, 90.00 and 120.00 degrees. The inequivalent atoms are Hg at (0.0000, 0.0000, 0.0000), Sb at (0.6667, 0.3333, 0.4817) and Te at (0.3333, 0.6667, 0.4827).

As for the crystal system: trigonal. For the total moment, the calculation gives 0.0 μB per formula unit.

--- x ---
First-principles (PBE) data for a geometry-optimized HgSbTe structure, as listed in the Alexandria database.

The space group is I4mm (No. 107) and the conventional cell measures 3.878, 3.878 and 13.075 Å, with angles of 90.00, 90.00 and 90.00 degrees. The inequivalent atoms are Hg at (0.000, 0.000, 0.000), Sb at (0.000, 0.000, 0.312) and Te at (0.000, 0.000, 0.710).

As for the crystal system: tetragonal. For the total moment, the calculation gives 0.0 μB per formula unit.

Least stable = w